Here is crystalline Pr4Ho2Th at its relaxed geometry from Alexandria. Energies are from PBE.

a = 9.123 Å, b = 9.123 Å, c = 9.123 Å
α = 135.87°, β = 100.27°, γ = 95.96°
Element x y z (fractional)
Pr (0.158, 0.156, 0.003)
Pr (0.238, 0.212, 0.474)
Pr (0.238, 0.764, 0.026)
Pr (0.347, 0.844, 0.503)
Pr (0.653, 0.156, 0.497)
Pr (0.762, 0.236, 0.974)
Pr (0.762, 0.788, 0.526)
Pr (0.842, 0.844, 0.997)
Ho (0.000, 0.500, 0.500)
Ho (0.029, 0.279, 0.750)
Ho (0.500, 0.500, 0.000)
Ho (0.971, 0.721, 0.250)
Th (0.500, 0.000, 0.000)
Th (0.500, 0.500, 0.500)

Computed properties:
N(E_F) = 24.9 states/eV/cell
M_tot = 0.001 μB per formula unit
Symmetry = Imma
Energy relative to the elements = 0.296 eV per atom
DFT total energy = -67.25 eV for the cell shown
Energy relative to the lowest polymorph listed for this composition = 0.201 eV/atom